<1>
! Ta2CO PBE relaxed; values from VASP
&SYSTEM
  ibrav = 0, nat = 4, ntyp = 3
/
ATOMIC_SPECIES
Ta 180.95 Ta.upf
C 12.01 C.upf
O 16.00 O.upf
CELL_PARAMETERS angstrom
0.0000 2.7900 2.7900
2.7900 0.0000 2.7900
2.7900 2.7900 0.0000
ATOMIC_POSITIONS angstrom
Ta 1.3950 1.3950 1.3950
Ta 4.1850 4.1850 4.1850
C 0.0000 0.0000 0.0000
O 2.7900 2.7900 2.7900
! * total magnetic moment: 0.000 μB per atom

=====

<2>
! Ta2CO PBE relaxed; values from VASP
&SYSTEM
  ibrav = 0, nat = 8, ntyp = 3
/
ATOMIC_SPECIES
Ta 180.95 Ta.upf
C 12.01 C.upf
O 16.00 O.upf
CELL_PARAMETERS angstrom
-2.4074 2.4074 4.8006
2.4074 -2.4074 4.8006
2.4074 2.4074 -4.8006
ATOMIC_POSITIONS angstrom
Ta 3.6110 1.1622 -1.2001
Ta 1.1622 1.2037 1.2001
Ta -1.2037 1.2452 3.6004
Ta 1.2452 1.2037 6.0007
C 0.0000 0.0000 0.0000
C 0.0000 2.4074 2.4003
O 2.4074 0.0000 2.4003
O 0.0000 0.0000 4.8006
! * total magnetic moment: 0.000 μB per atom

=====

Relative energy table, unit kJ/mol of atoms: <1> 13.3; <2> 0.0